This record from Alexandria describes a PBEsol-optimized structure of Ba2NbAgW. The functional is meta-GGA SCAN.

Summary:
Its final energy is -40.927 eV per atom. The energy of formation from the pure elements is 39.90 kcal/mol of atoms. The value obtained for the density of states at the Fermi level is 4.427 states/eV/f.u. The spin magnetization comes out at 8.6 μB/f.u. The theoretical density is 6.0 g cm⁻³.

Geometry as CIF:
```
data_Ba2NbAgW
_chemical_formula_sum 'Ba2 Nb1 Ag1 W1'
_cell_length_a 6.082
_cell_length_b 6.082
_cell_length_c 4.970
_cell_angle_alpha 90.00
_cell_angle_beta 90.00
_cell_angle_gamma 90.00
_space_group_name_H-M_alt 'P 4/m m m'
_space_group_IT_number 123
_space_group_name_Hall '-P 4 2'
loop_
_atom_site_label
_atom_site_fract_x
_atom_site_fract_y
_atom_site_fract_z
Ba1 0.000 0.500 0.000
Nb1 0.000 0.000 0.500
Ag1 0.500 0.500 0.000
W1 0.500 0.500 0.500
```


This record from Alexandria describes a PBEsol-optimized structure of Li7MnP4O16. The functional is meta-GGA SCAN.

Summary:
As for the uncorrected formation energy: -2.413 eV/atom. Its final energy is -8.708 eV per atom. The value obtained for the density of states at the Fermi level is 5.296 states/eV/f.u. The spin magnetization comes out at 4.0 μB/f.u. The theoretical density is 2.9 g cm⁻³.

Geometry as CIF:
```
data_Li7MnP4O16
_chemical_formula_sum 'Li7 Mn1 P4 O16'
_cell_length_a 4.679
_cell_length_b 5.798
_cell_length_c 10.051
_cell_angle_alpha 90.00
_cell_angle_beta 90.42
_cell_angle_gamma 90.00
_space_group_name_H-M_alt 'P 1 m 1'
_space_group_IT_number 6
loop_
_space_group_symop_operation_xyz
'x,y,z'
'x,-y,z'
loop_
_atom_site_label
_atom_site_fract_x
_atom_site_fract_y
_atom_site_fract_z
Li1 0.000 0.000 0.000
Li2 0.022 0.238 0.288
Li3 0.030 0.500 0.547
Li4 0.528 0.242 0.751
Li5 0.540 0.000 0.493
Mn1 0.518 0.500 0.054
P1 0.085 0.000 0.679
P2 0.464 0.000 0.180
P3 0.585 0.500 0.363
P4 0.934 0.500 0.882
O1 0.207 0.000 0.824
O2 0.220 0.213 0.611
O3 0.262 0.500 0.357
O4 0.263 0.500 0.894
O5 0.316 0.000 0.315
O6 0.332 0.219 0.104
O7 0.715 0.500 0.212
O8 0.725 0.288 0.428
O9 0.759 0.000 0.676
O10 0.782 0.298 0.960
O11 0.786 0.000 0.180
O12 0.826 0.500 0.739
```